VASP calculation (GGA-PBE) on an optimized crystal structure of SiIN2F.

Lattice parameters (Å, degrees): 3.844 3.844 3.757 90.00 90.00 90.00
Fractional positions:
I 0.500 0.500 0.500
Si 0.000 0.000 0.000
N 0.000 0.500 0.000
N 0.500 0.000 0.000
F 0.000 0.000 0.500

Values from the calculation:
The density of states at the Fermi level is 2.38 states/eV/f.u. The calculation puts the total energy at -4.822 eV/atom. As for the uncorrected formation energy: 0.277 eV per atom. For the calculated volume, the calculation gives 55.5 Å³ per cell. As for the total magnetization: 0.000 μB per formula unit.



VASP calculation (GGA-PBE) on an optimized crystal structure of NaReNi.

Lattice parameters (Å, degrees): 2.705 2.754 13.443 90.17 84.17 90.00
Fractional positions:
Na 0.044 0.545 0.744
Na 0.165 0.055 0.490
Ni 0.459 0.047 0.914
Ni 0.750 0.554 0.319
Re 0.898 0.549 0.037
Re 0.312 0.052 0.196

Values from the calculation:
The density of states at the Fermi level is 2.13 states/eV/f.u. The calculation puts the total energy at -6.269 eV/atom. For the calculated volume, the calculation gives 99.6 Å³ per cell. As for the total magnetization: 0.000 μB per formula unit. The energy relative to the elements comes out at 247 meV per atom.



VASP calculation (GGA-PBE) on an optimized crystal structure of TbErSc.

Lattice parameters (Å, degrees): 5.192 3.393 11.279 81.33 62.59 90.00
Fractional positions:
Tb 0.886 0.096 0.755
Tb 0.567 0.188 0.574
Er 0.229 0.518 0.912
Er 0.225 0.766 0.416
Sc 0.896 0.352 0.245
Sc 0.558 0.932 0.084

Values from the calculation:
The density of states at the Fermi level is 5.61 states/eV/f.u. The calculation puts the total energy at -5.078 eV/atom. For the calculated volume, the calculation gives 173.8 Å³ per cell. As for the total magnetization: 0.000 μB per formula unit. The energy relative to the elements comes out at 97 meV per atom.